RbTiCrAu2: relaxed, PBE.

Values from the calculation:
Calculated formation energy ... 0.432 eV/atom

```
5
Lattice="-3.289 -2.887 -2.886 2.555 0.497 -3.408 2.629 -4.333 1.339" Properties=species:S:1:pos:R:3 pbc="T T T"
Cr 0.000 0.000 0.000
Au 1.315 -2.167 0.669
Au -1.644 -1.443 -1.443
Rb 0.947 -3.362 -2.478
Ti 1.277 0.249 -1.704
```


LaMgSc2: relaxed, PBE.

Values from the calculation:
Calculated formation energy ... 0.052 eV/atom

```
4
Lattice="5.967 -0.003 0.057 4.934 3.356 0.057 1.352 0.416 5.407" Properties=species:S:1:pos:R:3 pbc="T T T"
La 6.172 1.898 2.749
Mg 3.162 0.973 1.334
Sc 12.181 3.747 5.490
Sc 9.114 2.804 4.231
```


NaLiGe: relaxed, PBE.

Values from the calculation:
ΔE to the lowest computed polymorph ... 0.2695 eV per atom
Calculated formation energy ... 0.047 eV/atom

```
6
Lattice="4.577 0.000 0.000 0.000 5.928 -0.634 0.000 -1.153 5.849" Properties=species:S:1:pos:R:3 pbc="T T T"
Li 0.000 0.000 0.000
Li 2.289 2.388 2.608
Ge 0.000 3.188 3.482
Ge 0.000 1.588 1.734
Na 2.289 0.287 4.532
Na 2.289 4.489 0.684
```


La2YIr2: relaxed, PBE.

Values from the calculation:
ΔE to the lowest computed polymorph ... 0.0530 eV per atom
Calculated formation energy ... -0.599 eV/atom

```
10
Lattice="4.554 0.000 -1.074 0.000 7.775 0.000 -0.598 0.000 7.653" Properties=species:S:1:pos:R:3 pbc="T T T"
La 0.926 5.143 3.925
La 3.030 1.256 2.654
La 1.446 2.290 6.128
La 2.510 6.178 0.451
Y 0.272 3.086 1.155
Y 3.683 6.974 5.424
Ir 0.402 0.077 1.704
Ir 3.554 3.965 4.875
Ir 1.076 0.023 4.559
Ir 2.880 3.911 2.020
```


SrDy2Ru: relaxed, PBE.

Values from the calculation:
ΔE to the lowest computed polymorph ... 0.0000 eV per atom
Calculated formation energy ... -0.171 eV/atom

```
4
Lattice="3.471 0.000 0.000 0.000 3.471 0.000 0.000 0.000 9.939" Properties=species:S:1:pos:R:3 pbc="T T T"
Ru 1.735 1.735 0.000
Sr 1.735 1.735 4.970
Dy 0.000 0.000 8.316
Dy 0.000 0.000 1.623
```


Y2US5: relaxed, PBE.

Values from the calculation:
ΔE to the lowest computed polymorph ... 0.0000 eV per atom
Raw formation energy ... -1.77 eV/atom

```
16
Lattice="5.328 0.000 0.000 -2.664 6.567 0.000 0.000 0.000 13.164" Properties=species:S:1:pos:R:3 pbc="T T T"
Y 2.664 4.650 5.820
Y 2.664 4.650 0.762
Y 0.000 1.917 7.344
Y 0.000 1.917 12.402
U 2.664 3.963 9.873
U 0.000 2.604 3.291
S 2.664 5.942 11.574
S 2.664 5.942 8.172
S 0.000 4.119 5.599
S 0.000 4.119 0.983
S 2.664 3.309 3.291
S 0.000 3.258 9.873
S 2.664 2.448 7.565
S 2.664 2.448 12.181
S 0.000 0.625 1.590
S 0.000 0.625 4.992
```


KCoAu: relaxed, PBE.

Values from the calculation:
ΔE to the lowest computed polymorph ... 0.9649 eV per atom
Calculated formation energy ... 1.325 eV/atom

```
3
Lattice="5.152 0.000 0.000 2.576 4.462 0.000 2.576 1.487 4.207" Properties=species:S:1:pos:R:3 pbc="T T T"
Au 0.000 0.000 0.000
Co 5.152 2.975 2.103
K 7.729 4.462 3.155
```


Hg2TeH2: relaxed, PBE.

Values from the calculation:
ΔE to the lowest computed polymorph ... 0.0000 eV per atom

```
5
Lattice="5.284 0.000 0.000 0.000 5.284 0.000 2.642 2.642 3.579" Properties=species:S:1:pos:R:3 pbc="T T T"
H 2.642 2.642 0.378
H 5.284 5.284 3.201
Te 0.000 0.000 0.000
Hg 5.284 2.642 1.790
Hg 2.642 5.284 1.790
```


Please write out number 7 again, unchanged.
KCoAu: relaxed, PBE.

Values from the calculation:
ΔE to the lowest computed polymorph ... 0.9649 eV per atom
Calculated formation energy ... 1.325 eV/atom

```
3
Lattice="5.152 0.000 0.000 2.576 4.462 0.000 2.576 1.487 4.207" Properties=species:S:1:pos:R:3 pbc="T T T"
Au 0.000 0.000 0.000
Co 5.152 2.975 2.103
K 7.729 4.462 3.155
```


Repeat the fifth record exactly.
SrDy2Ru: relaxed, PBE.

Values from the calculation:
ΔE to the lowest computed polymorph ... 0.0000 eV per atom
Calculated formation energy ... -0.171 eV/atom

```
4
Lattice="3.471 0.000 0.000 0.000 3.471 0.000 0.000 0.000 9.939" Properties=species:S:1:pos:R:3 pbc="T T T"
Ru 1.735 1.735 0.000
Sr 1.735 1.735 4.970
Dy 0.000 0.000 8.316
Dy 0.000 0.000 1.623
```